VASP calculation (PBE-GGA) on an optimized crystal structure of SnOsF2.

DFT total energy   -0.1832 Ha/atom
SG   No. 166
Spin magnetization   0.68 μB/atom

Structure (extended XYZ):
```
4
Lattice="1.466 0.846 8.656 -1.466 0.846 8.656 0.000 -1.692 8.656" Properties=species:S:1:pos:R:3 pbc="T T T"
Sn 0.000 0.000 0.000
Os 0.000 0.000 12.985
F 0.000 0.000 2.114
F 0.000 0.000 23.856
```